# 1
# GdPuMnFe, optimized geometry, DFT PBE
# - Raw total energy: -11.397 eV/atom
# - Size of the total moment: 33.3 Bohr magnetons per cell
# - V: 308.1 Å³/cell
data_GdPuMnFe
_chemical_formula_sum 'Gd4 Pu4 Mn4 Fe4'
_cell_length_a 6.754
_cell_length_b 6.754
_cell_length_c 6.754
_cell_angle_alpha 90.00
_cell_angle_beta 90.00
_cell_angle_gamma 90.00
_symmetry_space_group_name_H-M 'F -4 3 m'
_symmetry_Int_Tables_number 216
_symmetry_space_group_name_Hall 'F -4 2 3'
loop_
_atom_site_label
_atom_site_fract_x
_atom_site_fract_y
_atom_site_fract_z
Gd1 0.000 0.000 0.000
Pu1 0.000 0.000 0.500
Mn1 0.250 0.250 0.250
Fe1 0.250 0.250 0.750

---

# 2
# ThCdGa, optimized geometry, DFT PBE
# - Raw total energy: -4.111 eV/atom
# - Size of the total moment: 0.0 Bohr magnetons per cell
# - V: 72.8 Å³/cell
data_ThCdGa
_chemical_formula_sum 'Th1 Cd1 Ga1'
_cell_length_a 4.7417
_cell_length_b 4.7417
_cell_length_c 3.7376
_cell_angle_alpha 90.00
_cell_angle_beta 90.00
_cell_angle_gamma 120.00
_symmetry_space_group_name_H-M 'P 3 m 1'
_symmetry_Int_Tables_number 156
_symmetry_space_group_name_Hall 'P 3 -2"'
loop_
_atom_site_label
_atom_site_fract_x
_atom_site_fract_y
_atom_site_fract_z
Th1 0.0000 0.0000 0.0000
Cd1 0.3333 0.6667 0.5011
Ga1 0.6667 0.3333 0.4969

---

# 3
# ScHg2PtBr, optimized geometry, DFT PBE
# - Raw total energy: -2.181 eV/atom
# - Size of the total moment: 0.9 Bohr magnetons per cell
# - Uncorrected formation energy: 0.7491 eV per atom
# - V: 153.2 Å³/cell
data_ScHg2PtBr
_chemical_formula_sum 'Sc1 Hg2 Pt1 Br1'
_cell_length_a 5.711
_cell_length_b 5.711
_cell_length_c 4.699
_cell_angle_alpha 90.00
_cell_angle_beta 90.00
_cell_angle_gamma 90.00
_symmetry_space_group_name_H-M 'P 4/m m m'
_symmetry_Int_Tables_number 123
_symmetry_space_group_name_Hall '-P 4 2'
loop_
_atom_site_label
_atom_site_fract_x
_atom_site_fract_y
_atom_site_fract_z
Sc1 0.000 0.000 0.000
Hg1 0.000 0.500 0.500
Pt1 0.500 0.500 0.000
Br1 0.500 0.500 0.500

---

# 4
# Sm2AgSb, optimized geometry, DFT PBE
# - Raw total energy: -4.663 eV/atom
# - Size of the total moment: 0.0 Bohr magnetons per cell
# - Uncorrected formation energy: -0.5603 eV per atom
# - V: 365.7 Å³/cell
data_Sm2AgSb
_chemical_formula_sum 'Sm6 Ag3 Sb3'
_cell_length_a 4.4166
_cell_length_b 4.4166
_cell_length_c 21.6465
_cell_angle_alpha 90.00
_cell_angle_beta 90.00
_cell_angle_gamma 120.00
_symmetry_space_group_name_H-M 'R -3 m'
_symmetry_Int_Tables_number 166
_symmetry_space_group_name_Hall '-R 3 2"'
loop_
_atom_site_label
_atom_site_fract_x
_atom_site_fract_y
_atom_site_fract_z
Sm1 0.0000 0.0000 0.2504
Ag1 0.0000 0.0000 0.5000
Sb1 0.0000 0.0000 0.0000